Here is a geometry-optimized Na2CoAuO4 structure from the Alexandria database. Energies are from PBE with a Hubbard U.

Lattice parameters (Å, degrees): 5.1709 5.1709 5.1709 106.22 111.12 111.12
Last column: nearest neighbours and their distance in Å.
Positions (direct):
1 Na 0.5000 0.7500 0.2500  4 O 2.33
2 Na 0.0000 0.0000 0.0000  4 O 2.36
3 Co 0.0000 0.5000 0.5000  4 O 1.89
4 Au 0.5000 0.2500 0.7500  4 O 2.05
5 O 0.6559 0.5079 0.5446  1 Co 1.89, 1 Au 2.05
6 O 0.0366 0.1480 0.4921  1 Co 1.89, 1 Au 2.05
7 O 0.9634 0.4554 0.1114  1 Co 1.89, 1 Au 2.05
8 O 0.3441 0.8886 0.8520  1 Co 1.89, 1 Au 2.05

Summary:
Calculated total energy: -0.352 Ry per atom
SG: No. 82
Magnetization: 4.0 Bohr magnetons per cell